Record 1
This record from Alexandria describes a geometry-optimized K2Ac4Sb3O2 structure. The functional is GGA-PBE.

## Properties
Its theoretical density is 6.12 g/cm³. For the volume, the calculation gives 34.1 A^3/atom. As for the calculated total energy: -57.73 eV per cell. The space-group type is I4/mmm.

Cell: 14.3322 14.3322 14.3322 Å, 159.07 159.07 29.77°
Last column: nearest neighbours and their distance in Å.
Fractional coordinates of all 11 atoms:
K: 0.2047 0.2047 0.0000  1 O 3.21
K: 0.7953 0.7953 0.0000  1 O 3.21
Ac: 0.0854 0.5854 0.5000  2 O 2.61
Ac: 0.4146 0.9146 0.5000  2 O 2.61
Ac: 0.5854 0.0854 0.5000  2 O 2.61
Ac: 0.9146 0.4146 0.5000  2 O 2.61
Sb: 0.3358 0.3358 0.0000  4 Ac 3.40, 1 K 3.63
Sb: 0.5000 0.5000 0.0000  8 Ac 3.52
Sb: 0.6642 0.6642 0.0000  4 Ac 3.40, 1 K 3.63
O: 0.0888 0.0888 0.0000  4 Ac 2.61
O: 0.9112 0.9112 0.0000  4 Ac 2.61


Record 2
This record from Alexandria describes a geometry-optimized YbErHg2 structure. The functional is GGA-PBE.

## Properties
Its theoretical density is 11.98 g/cm³. For the volume, the calculation gives 25.7 A^3/atom. Its formation energy is -546 meV per atom. As for the calculated total energy: -8.88 eV per cell. The space-group type is Fm-3m.

Cell: 5.2577 5.2577 5.2577 Å, 60.00 60.00 60.00°
Last column: nearest neighbours and their distance in Å.
Fractional coordinates of all 4 atoms:
Yb: 0.0000 0.0000 0.0000  8 Hg 3.22
Er: 0.5000 0.5000 0.5000  8 Hg 3.22
Hg: 0.2500 0.2500 0.2500  4 Er 3.22, 4 Yb 3.22
Hg: 0.7500 0.7500 0.7500  4 Er 3.22, 4 Yb 3.22


Record 3
This record from Alexandria describes a geometry-optimized RbHoBi2 structure. The functional is GGA-PBE.

## Properties
Its theoretical density is 8.12 g/cm³. For the volume, the calculation gives 34.2 A^3/atom. Its formation energy is -490 meV per atom. As for the calculated total energy: -15.27 eV per cell. The space-group type is P4/mmm.

Cell: 3.7177 3.7177 9.8865 Å, 90.00 90.00 90.00°
Last column: nearest neighbours and their distance in Å.
Fractional coordinates of all 4 atoms:
Rb: 0.0000 0.0000 0.0000  4 Rb 3.72, 8 Bi 3.87
Ho: 0.0000 0.0000 0.5000  8 Bi 3.37, 4 Ho 3.72
Bi: 0.5000 0.5000 0.2872  4 Ho 3.37, 4 Bi 3.72
Bi: 0.5000 0.5000 0.7128  4 Ho 3.37, 4 Bi 3.72